VASP calculation (PBE-GGA) on a relaxed CaZr2Ni2 crystal.

The space group is P4/mbm (No. 127) and the conventional cell measures 7.7011, 7.7011 and 3.2758 Å, with angles of 90.00, 90.00 and 90.00 degrees. The distinct sites, in fractional coordinates, are Ca at (0.0000, 0.0000, 0.0000), Zr at (0.1552, 0.3448, 0.5000) and Ni at (0.1215, 0.6215, 0.0000).

The calculation puts the formation energy from the elements at -0.159 eV/atom. The value obtained for the final energy is -6.291 eV/atom. As for the total magnetization: 0.00 μB/cell.